Record 1
Density functional theory data (PBE) for an optimized crystal structure of TbUCo4.

Structure (POSCAR):
```
TbUCo4
1.0
6.5375 0.0000 2.0180
0.0000 6.0623 0.0000
0.3960 -3.0311 4.7973
Tb U Co
2 2 8
Direct
0.8032 0.8025 0.6050 Tb
0.1968 0.1975 0.3950 Tb
0.2438 0.5293 0.0585 U
0.7562 0.4707 0.9415 U
0.2514 0.7615 0.5229 Co
0.4207 0.1124 0.7905 Co
0.0000 0.2011 0.0000 Co
0.5793 0.3219 0.2095 Co
0.7486 0.2385 0.4771 Co
0.5793 0.8876 0.2095 Co
0.0000 0.7989 0.0000 Co
0.4207 0.6781 0.7905 Co
```

Computed properties:
Electronic total energy (eV per atom): -7.498
Mass density (g/cm³): 11.340
Space-group type: No. 12
ΔE_f (meV/atom): -108



Record 2
Density functional theory data (PBE) for an optimized crystal structure of Sr2Hg3Pb.

Structure (POSCAR):
```
Sr2Hg3Pb
1.0
-1.1148 3.6304 -5.2995
-2.0913 -5.9415 -1.6831
-6.5061 3.1412 6.5575
Sr Hg Pb
4 6 2
Direct
0.2500 0.7500 0.5000 Sr
0.7552 0.7552 0.0000 Sr
0.7500 0.2500 0.5000 Sr
0.2448 0.2448 0.0000 Sr
0.3301 0.8345 0.1646 Hg
0.1655 0.6699 0.8354 Hg
0.6699 0.1655 0.8354 Hg
0.8345 0.3301 0.1646 Hg
0.1647 0.1647 0.3294 Hg
0.8353 0.8353 0.6706 Hg
0.6654 0.6654 0.3308 Pb
0.3346 0.3346 0.6692 Pb
```

Computed properties:
Electronic total energy (eV per atom): -1.805
Mass density (g/cm³): 8.912
Space-group type: No. 69
ΔE_f (meV/atom): -475